No. 1
HoHg2Pb | PBE-GGA | optimized geometry

Cell: 4.5671 4.5671 4.8564 Å, 90.00 90.00 90.00°
Fractional positions:
Ho  0.0000  0.0000  0.0000
Hg  0.0000  0.5000  0.5000
Hg  0.5000  0.0000  0.5000
Pb  0.5000  0.5000  0.0000

Calculated values
DFT formation energy   -0.3230 eV per atom
Uncorrected energy   -10.2 eV per formula unit
Total magnetization   0.00 μB per formula unit
Space group   P4/mmm

No. 2
BaGa | PBE-GGA | optimized geometry

Cell: 4.4766 4.4807 9.4674 Å, 76.46 76.55 60.05°
Fractional positions:
Ba  0.0862  0.0882  0.2358
Ba  0.9138  0.9118  0.7642
Ga  0.3329  0.3327  0.5013
Ga  0.6671  0.6673  0.4987

Calculated values
DFT formation energy   -0.3870 eV per atom
Uncorrected energy   -5.7 eV per formula unit
Total magnetization   0.00 μB per formula unit
Space group   P-1

No. 3
ScTlRu2 | PBE-GGA | optimized geometry

Cell: 4.7172 4.7172 5.2740 Å, 101.30 101.30 37.96°
Fractional positions:
Sc  0.0000  0.0000  0.0000
Tl  0.5000  0.5000  0.5000
Ru  0.2571  0.2571  0.7806
Ru  0.7429  0.7429  0.2194

Calculated values
DFT formation energy   0.1246 eV per atom
Uncorrected energy   -26.8 eV per formula unit
Total magnetization   0.00 μB per formula unit
Space group   C2/m

No. 4
TmCu11 | PBE-GGA | optimized geometry

Cell: 7.7639 7.7639 7.7639 Å, 100.17 100.17 130.30°
Fractional positions:
Tm  0.3750  0.6250  0.7500
Tm  0.6250  0.3750  0.2500
Cu  0.0000  0.0000  0.0000
Cu  0.0000  0.0000  0.5000
Cu  0.0000  0.5000  0.0000
Cu  0.1250  0.8750  0.2500
Cu  0.1354  0.5574  0.3338
Cu  0.1354  0.8016  0.5780
Cu  0.1984  0.2764  0.3338
Cu  0.1984  0.8646  0.9220
Cu  0.2764  0.1984  0.8338
Cu  0.2764  0.4426  0.0780
Cu  0.4426  0.2764  0.5780
Cu  0.4426  0.8646  0.1662
Cu  0.5000  0.0000  0.5000
Cu  0.5574  0.1354  0.8338
Cu  0.5574  0.7236  0.4220
Cu  0.7236  0.5574  0.9220
Cu  0.7236  0.8016  0.1662
Cu  0.8016  0.1354  0.0780
Cu  0.8016  0.7236  0.6662
Cu  0.8646  0.1984  0.4220
Cu  0.8646  0.4426  0.6662
Cu  0.8750  0.1250  0.7500

Calculated values
DFT formation energy   -0.0770 eV per atom
Uncorrected energy   -50.5 eV per formula unit
Total magnetization   0.00 μB per formula unit
Space group   I4_1/amd

No. 5
CdSbAu2Se | PBE-GGA | optimized geometry

Cell: 5.1617 5.1617 5.6981 Å, 90.00 90.00 90.00°
Fractional positions:
Cd  0.0000  0.0000  0.0000
Sb  0.0000  0.0000  0.5000
Au  0.0000  0.5000  0.5000
Au  0.5000  0.0000  0.5000
Se  0.5000  0.5000  0.0000

Calculated values
ΔE_f (raw)   493.7 meV/atom
Uncorrected energy   -12.6 eV per formula unit
Total magnetization   1.03 μB per formula unit
Space group   P4/mmm

No. 6
Li3PdRh2O6 | PBE-GGA | optimized geometry

Cell: 5.4432 5.4432 5.0688 Å, 99.35 99.35 121.72°
Fractional positions:
Li  0.0000  0.0000  0.0000
Li  0.3273  0.6727  0.0000
Li  0.6727  0.3273  0.0000
Pd  0.5000  0.5000  0.5000
Rh  0.1664  0.8336  0.5000
Rh  0.8336  0.1664  0.5000
O  0.0804  0.4340  0.2658
O  0.2391  0.2391  0.7237
O  0.4340  0.0804  0.2658
O  0.5660  0.9196  0.7342
O  0.7609  0.7609  0.2763
O  0.9196  0.5660  0.7342

Calculated values
ΔE_f (raw)   -1100.3 meV/atom
Uncorrected energy   -68.6 eV per formula unit
Total magnetization   1.02 μB per formula unit
Space group   C2/m

No. 7
Hf4ReTc | PBE-GGA | optimized geometry

Cell: 7.8482 7.8482 7.8482 Å, 33.46 33.46 33.46°
Fractional positions:
Hf  0.1251  0.1251  0.1251
Hf  0.3752  0.3752  0.3752
Hf  0.6248  0.6248  0.6248
Hf  0.8749  0.8749  0.8749
Re  0.0000  0.0000  0.0000
Tc  0.5000  0.5000  0.5000

Calculated values
DFT formation energy   -0.0176 eV per atom
Uncorrected energy   -62.7 eV per formula unit
Total magnetization   0.00 μB per formula unit
Space group   R-3m

No. 8
ZnGaIrSe2 | PBE-GGA | optimized geometry

Cell: 4.8818 4.8818 4.7678 Å, 90.00 90.00 90.00°
Fractional positions:
Zn  0.0000  0.0000  0.0000
Ga  0.5000  0.5000  0.5000
Ir  0.0000  0.0000  0.5000
Se  0.0000  0.5000  0.0000
Se  0.5000  0.0000  0.0000

Calculated values
ΔE_f (raw)   841.9 meV/atom
Uncorrected energy   -15.9 eV per formula unit
Total magnetization   0.00 μB per formula unit
Space group   P4/mmm